The following is a DFT calculation (PBE-GGA) of a relaxed TbSm15In4 crystal.

Geometry as POSCAR:
```
TbSm15In4
1.0
4.938 0.000 0.000
0.000 4.938 0.000
0.000 0.000 25.157
Tb Sm In
1 15 4
direct
0.000 0.000 0.000
0.000 0.500 0.105
0.000 0.500 0.303
0.000 0.500 0.500
0.000 0.500 0.697
0.000 0.500 0.895
0.500 0.000 0.105
0.500 0.000 0.303
0.500 0.000 0.500
0.500 0.000 0.697
0.500 0.000 0.895
0.500 0.500 0.000
0.500 0.500 0.204
0.500 0.500 0.402
0.500 0.500 0.598
0.500 0.500 0.796
0.000 0.000 0.206
0.000 0.000 0.402
0.000 0.000 0.598
0.000 0.000 0.794
```

Summary:
As for the density: 7.8 g cm⁻³. Its space group is P4/mmm. The raw total energy is -4.526 eV per atom. Its spin magnetization is 0.00 μB/atom.